Record 1
Density functional theory data (PBE) for a relaxed Sm2Dy3Cd3 crystal.

Computed properties:
V: 27.94 Å³/atom
VASP energy: -3.425 eV per atom
Energy above the most stable polymorph in this dataset: 0.055 eV per atom
E_form: -1.41 eV per formula unit

a b c (Å): 4.913 4.920 9.247
angles (deg): 90.00 90.00 90.00
Atoms (fractional coordinates):
Sm1 0.000 0.000 0.241
Sm2 0.000 0.000 0.759
Dy1 0.000 0.500 0.500
Dy2 0.500 0.500 0.231
Dy3 0.500 0.500 0.769
Cd1 0.000 0.500 0.000
Cd2 0.500 0.000 0.000
Cd3 0.500 0.000 0.500

***

Record 2
Density functional theory data (PBE) for a relaxed NbFe2HRu crystal.

Computed properties:
V: 11.19 Å³/atom
VASP energy: -7.983 eV per atom
Energy above the most stable polymorph in this dataset: 0.000 eV per atom

a b c (Å): 3.802 3.802 3.870
angles (deg): 90.00 90.00 90.00
Atoms (fractional coordinates):
Nb1 0.000 0.000 0.000
Fe1 0.000 0.500 0.500
Fe2 0.500 0.000 0.500
H1 0.500 0.500 0.500
Ru1 0.500 0.500 0.000

***

Copy entry 1 word for word.
Density functional theory data (PBE) for a relaxed Sm2Dy3Cd3 crystal.

Computed properties:
V: 27.94 Å³/atom
VASP energy: -3.425 eV per atom
Energy above the most stable polymorph in this dataset: 0.055 eV per atom
E_form: -1.41 eV per formula unit

a b c (Å): 4.913 4.920 9.247
angles (deg): 90.00 90.00 90.00
Atoms (fractional coordinates):
Sm1 0.000 0.000 0.241
Sm2 0.000 0.000 0.759
Dy1 0.000 0.500 0.500
Dy2 0.500 0.500 0.231
Dy3 0.500 0.500 0.769
Cd1 0.000 0.500 0.000
Cd2 0.500 0.000 0.000
Cd3 0.500 0.000 0.500

***

- Which value of V does entry 1 give?
  27.94 Å³/atom